A plane-wave DFT calculation with PBE was carried out for an optimized crystal structure of Er2BS4.

Calculated values
- density (g cm⁻³) = 4.53
- uncorrected formation energy (eV/f.u.) = -8.0
- final energy (eV for the cell shown) = -80.65

a = 6.5097 Å, b = 6.5097 Å, c = 8.1923 Å
α = 90.00°, β = 90.00°, γ = 90.00°
Closest atoms and distances in Å follow each position.
Space group I-42m (No. 121)
One atom of each set of equivalent atoms:
Er 0.0000 0.5000 0.2500  4 S 2.63
B 0.0000 0.0000 0.0000  4 S 1.94
S 0.1853 0.1853 0.1135  1 B 1.94

***

A plane-wave DFT calculation with PBE was carried out for an optimized crystal structure of ErBS.

Calculated values
- density (g cm⁻³) = 6.16
- uncorrected formation energy (eV/f.u.) = -3.0
- final energy (eV for the cell shown) = -73.55

a = 16.6707 Å, b = 3.3364 Å, c = 4.0704 Å
α = 90.00°, β = 90.00°, γ = 90.00°
Closest atoms and distances in Å follow each position.
Space group Pnma (No. 62)
One atom of each set of equivalent atoms:
Er 0.1458 0.2500 0.0039  3 B 2.57-2.84, 4 S 2.69-2.70
B 0.0082 0.7500 0.0003  2 B 1.69
S 0.1806 0.7500 0.5038  5 Er 2.69-2.89

***

A plane-wave DFT calculation with PBE was carried out for an optimized crystal structure of ErBS.

Calculated values
- density (g cm⁻³) = 7.27
- uncorrected formation energy (eV/f.u.) = -1.9
- final energy (eV for the cell shown) = -68.95

a = 3.8678 Å, b = 14.7684 Å, c = 3.3619 Å
α = 90.00°, β = 90.00°, γ = 90.00°
Closest atoms and distances in Å follow each position.
Space group Cmcm (No. 63)
One atom of each set of equivalent atoms:
Er 0.0000 0.1021 0.2500  6 B 2.62-2.85, 4 S 2.77-2.90
B 0.0000 0.4820 0.2500  2 B 1.76
S 0.0000 0.2516 0.7500  4 S 2.56, 2 Er 2.77

***

A plane-wave DFT calculation with PBE was carried out for an optimized crystal structure of ErBS4.

Calculated values
- density (g cm⁻³) = 4.18
- uncorrected formation energy (eV/f.u.) = -4.4
- final energy (eV for the cell shown) = -128.62

a = 8.1733 Å, b = 6.9599 Å, c = 8.5482 Å
α = 90.00°, β = 90.00°, γ = 90.00°
Closest atoms and distances in Å follow each position.
Space group Cmcm (No. 63)
One atom of each set of equivalent atoms:
Er 0.0000 0.1479 0.2500  8 S 2.78-2.81
B 0.0000 0.3634 0.7500  4 S 1.90
S 0.0000 0.1943 0.5750  1 B 1.90
S 0.1899 0.4795 0.2500  1 B 1.90

***

A plane-wave DFT calculation with PBE was carried out for an optimized crystal structure of Er3BS6.

Calculated values
- density (g cm⁻³) = 5.53
- uncorrected formation energy (eV/f.u.) = -16.2
- final energy (eV for the cell shown) = -245.25

a = 10.5145 Å, b = 12.9526 Å, c = 6.2155 Å
α = 90.00°, β = 90.00°, γ = 90.00°
Closest atoms and distances in Å follow each position.
Space group Cmc2_1 (No. 36)
One atom of each set of equivalent atoms:
Er 0.0000 0.1002 0.0000  6 S 2.68-2.77
Er 0.1826 0.3984 0.0971  6 S 2.63-2.90
B 0.0000 0.3038 0.6458  4 S 1.95-1.98
S 0.0000 0.2921 0.3328  1 B 1.95
S 0.0000 0.4458 0.7620  1 B 1.98
S 0.1493 0.2423 0.7829  1 B 1.96
S 0.1624 0.0304 0.2992  4 Er 2.63-2.71

***

A plane-wave DFT calculation with PBE was carried out for an optimized crystal structure of Er4BS3.

Calculated values
- density (g cm⁻³) = 7.96
- uncorrected formation energy (eV/f.u.) = -13.0
- final energy (eV for the cell shown) = -100.64

a = 7.7654 Å, b = 10.9002 Å, c = 3.8274 Å
α = 90.00°, β = 90.00°, γ = 90.00°
Closest atoms and distances in Å follow each position.
Space group Cmmm (No. 65)
One atom of each set of equivalent atoms:
Er 0.0000 0.2344 0.0000  1 B 2.56, 4 S 2.73
Er 0.2266 0.0000 0.5000  2 B 2.60, 4 S 2.73-2.86
B 0.0000 0.0000 0.0000  6 Er 2.56-2.60
S 0.0000 0.5000 0.0000  6 Er 2.86-2.89
S 0.2500 0.2500 0.5000  6 Er 2.73

***

| no. | calculated volume (Å³ per atom) |
| --- | --- |
| 1 | 24.80 |
| 2 | 18.87 |
| 3 | 16.00 |
| 4 | 20.26 |
| 5 | 21.16 |
| 6 | 20.25 |